Entry from the Alexandria database: NaPuTlHg after structural relaxation (GGA-PBE).

extended XYZ file:
```
4
Lattice="3.4199 0.0000 0.0000 0.0000 3.4199 0.0000 0.0000 0.0000 8.9819" Properties=species:S:1:pos:R:3 pbc="T T T"
Na 0.0000 0.0000 0.0000
Pu 0.0000 0.0000 4.3587
Tl 1.7100 1.7100 6.7057
Hg 1.7100 1.7100 2.1446
```

Results
- Energy relative to the lowest polymorph listed for this composition: 0.000 eV per formula unit
- Total magnetic moment: 5.8 μB per formula unit
- Calculated formation energy: -0.09 eV/atom

Entry from the Alexandria database: NaPuZnHg after structural relaxation (GGA-PBE).

extended XYZ file:
```
4
Lattice="0.0000 3.6571 3.6571 3.6571 0.0000 3.6571 3.6571 3.6571 0.0000" Properties=species:S:1:pos:R:3 pbc="T T T"
Na 0.0000 0.0000 0.0000
Pu 3.6571 3.6571 3.6571
Zn 1.8286 1.8286 1.8286
Hg 5.4857 5.4857 5.4857
```

Results
- Total magnetic moment: 6.2 μB per formula unit
- Calculated formation energy: 0.03 eV/atom

Entry from the Alexandria database: Rb6Na3Hg after structural relaxation (GGA-PBE).

extended XYZ file:
```
20
Lattice="12.0819 0.0000 0.0000 0.0000 8.2904 0.0000 -11.9970 0.0000 12.4103" Properties=species:S:1:pos:R:3 pbc="T T T"
Rb -1.7738 2.0221 2.9017
Rb -7.7723 2.1231 9.1069
Rb -4.0089 0.9155 6.9399
Rb 1.9896 3.2297 0.7347
Rb -2.1266 4.8158 7.0563
Rb 3.8719 7.6198 0.8511
Rb -3.7871 0.6706 11.5592
Rb 2.2115 3.4746 5.3541
Rb -1.9047 5.0607 11.6756
Rb 4.0938 7.3749 5.4705
Rb 7.8572 6.1673 3.3035
Rb 1.8587 6.2683 9.5086
Na -5.8546 5.8015 9.0544
Na 0.1439 6.6341 2.8493
Na 0.0424 0.0000 6.2052
Na 6.0410 4.1452 0.0000
Na -0.0590 1.6563 9.5611
Na 5.9395 2.4889 3.3559
Hg 0.0000 0.0000 0.0000
Hg -5.9985 4.1452 6.2052
```

Results
- Total magnetic moment: 0.0 μB per formula unit
- Calculated formation energy: -0.02 eV/atom

Entry from the Alexandria database: Rb5NaHg6 after structural relaxation (GGA-PBE).

extended XYZ file:
```
12
Lattice="4.7067 -9.0370 0.0000 4.7067 9.0370 0.0000 -3.0822 0.0000 6.3519" Properties=species:S:1:pos:R:3 pbc="T T T"
Rb 0.0000 0.0000 0.0000
Rb 3.1656 5.5440 3.1760
Rb 4.7067 2.1637 0.0000
Rb 4.7067 -2.1637 0.0000
Rb 3.1656 -5.5440 3.1760
Na 3.1656 0.0000 3.1760
Hg 0.2405 5.6403 5.6931
Hg -0.1221 0.0000 3.7602
Hg 6.0908 5.6403 0.6588
Hg 0.2405 -5.6403 5.6931
Hg 6.4533 0.0000 2.5917
Hg 6.0908 -5.6403 0.6588
```

Results
- Total magnetic moment: 0.0 μB per formula unit
- Calculated formation energy: -0.19 eV/atom

Entry from the Alexandria database: RbNa3Hg after structural relaxation (GGA-PBE).

extended XYZ file:
```
5
Lattice="7.2177 0.0000 0.0000 0.0000 7.2177 0.0000 0.0000 0.0000 7.2177" Properties=species:S:1:pos:R:3 pbc="T T T"
Rb 0.0000 0.0000 0.0000
Na 0.0000 0.0000 3.6089
Na 0.0000 3.6089 0.0000
Na 3.6089 0.0000 0.0000
Hg 3.6089 3.6089 3.6089
```

Results
- Energy relative to the lowest polymorph listed for this composition: 2.704 eV per formula unit
- Total magnetic moment: 0.0 μB per formula unit
- Calculated formation energy: 0.43 eV/atom

Entry from the Alexandria database: RbNa3Hg after structural relaxation (GGA-PBE).

extended XYZ file:
```
20
Lattice="8.9376 -5.8676 0.0000 8.9376 5.8676 0.0000 -1.8021 0.0000 7.6940" Properties=species:S:1:pos:R:3 pbc="T T T"
Rb 7.5860 5.3527 5.7705
Rb 8.4870 1.6341 1.9235
Rb 7.5860 -1.6341 5.7705
Rb 8.4870 -5.3527 1.9235
Na 3.0972 1.9561 0.6426
Na 2.2907 1.9841 4.5938
Na 4.9342 0.0330 3.1440
Na 4.0331 -0.0330 6.9911
Na 2.1961 -1.9561 4.4896
Na 3.1918 -1.9841 0.7468
Na 12.8812 1.9841 6.9473
Na 13.8769 1.9561 3.2044
Na 12.0399 0.0330 0.7030
Na 11.1389 -0.0330 4.5500
Na 13.7823 -1.9841 3.1003
Na 12.9758 -1.9561 7.0514
Hg 6.0736 1.9821 5.4698
Hg 9.0984 1.9821 6.0713
Hg 6.9747 -1.9821 1.6228
Hg 9.9994 -1.9821 2.2243
```

Results
- Energy relative to the lowest polymorph listed for this composition: 0.146 eV per formula unit
- Total magnetic moment: 0.0 μB per formula unit
- Calculated formation energy: -0.08 eV/atom

no.,calculated volume (A^3/atom)
1,26.263
2,24.456
3,62.153
4,45.030
5,75.202
6,40.349